# 1
{"formula": "PaNbSi2Pt", "functional": "PBE", "state": "optimized geometry", "final_energy_ev_per_atom": -7.954, "raw_formation_energy_kcal_per_mol_atoms": -15.29, "lattice": [[-2.050, 2.050, 5.369], [2.050, -2.050, 5.369], [2.050, 2.050, -5.369]], "species": ["Pa", "Nb", "Si", "Si", "Pt"], "frac_coords": [[0.000, 0.000, 0.000], [0.750, 0.250, 0.500], [0.391, 0.391, 0.000], [0.609, 0.609, 0.000], [0.250, 0.750, 0.500]]}

# 2
{"formula": "ZrPaNbPt", "functional": "PBE", "state": "optimized geometry", "ef_mev_per_atom": -392, "final_energy_ev_per_atom": -8.930, "lattice": [[0.000, 3.448, 3.448], [3.448, 0.000, 3.448], [3.448, 3.448, 0.000]], "species": ["Zr", "Pa", "Nb", "Pt"], "frac_coords": [[0.000, 0.000, 0.000], [0.500, 0.500, 0.500], [0.750, 0.750, 0.750], [0.250, 0.250, 0.250]]}

# 3
{"formula": "Pu2PaNb", "functional": "PBE", "state": "optimized geometry", "ef_mev_per_atom": 227, "e_above_lowest_polymorph_mev_per_atom": 1, "final_energy_ev_per_atom": -11.831, "lattice": [[0.000, 3.545, 3.545], [3.545, 0.000, 3.545], [3.545, 3.545, 0.000]], "species": ["Pu", "Pu", "Pa", "Nb"], "frac_coords": [[0.250, 0.250, 0.250], [0.750, 0.750, 0.750], [0.000, 0.000, 0.000], [0.500, 0.500, 0.500]]}

# 4
{"formula": "Pu2PaNb", "functional": "PBE", "state": "optimized geometry", "ef_mev_per_atom": 260, "e_above_lowest_polymorph_mev_per_atom": 35, "final_energy_ev_per_atom": -11.797, "lattice": [[5.310, 0.000, 0.000], [0.000, 5.310, 0.000], [0.000, 0.000, 3.127]], "species": ["Pu", "Pu", "Pa", "Nb"], "frac_coords": [[0.000, 0.500, 0.000], [0.500, 0.000, 0.000], [0.000, 0.000, 0.500], [0.500, 0.500, 0.500]]}

| no. | DOS(E_F) (states/eV per cell) |
| --- | --- |
| 1 | 5.30 |
| 2 | 4.08 |
| 3 | 11.42 |
| 4 | 11.21 |